Model w:
{
  "formula": "AcLaPmMg",
  "functional": "PBE",
  "state": "relaxed",
  "m_tot_mub_per_atom": 0.000,
  "lattice_angstrom": [[0.000, 4.127, 4.127], [4.127, 0.000, 4.127], [4.127, 4.127, 0.000]],
  "species": ["Ac", "La", "Pm", "Mg"],
  "frac_coords": [[0.000, 0.000, 0.000], [0.250, 0.250, 0.250], [0.750, 0.750, 0.750], [0.500, 0.500, 0.500]]
}

=====

Model x:
{
  "formula": "AcLaPmMg",
  "functional": "PBE",
  "state": "relaxed",
  "m_tot_mub_per_atom": 0.000,
  "lattice_angstrom": [[3.888, 0.000, 0.000], [0.000, 3.888, 0.000], [0.000, 0.000, 9.238]],
  "species": ["Ac", "La", "Pm", "Mg"],
  "frac_coords": [[0.000, 0.000, 0.000], [0.500, 0.500, 0.711], [0.500, 0.500, 0.280], [0.000, 0.000, 0.487]]
}

=====

Of them, model w has the lowest stability.

=====

Model w:
{
  "formula": "AcLaSmMg",
  "functional": "PBE",
  "state": "relaxed",
  "m_tot_mub_per_atom": 0.000,
  "lattice_angstrom": [[0.000, 4.122, 4.122], [4.122, 0.000, 4.122], [4.122, 4.122, 0.000]],
  "species": ["Ac", "La", "Sm", "Mg"],
  "frac_coords": [[0.000, 0.000, 0.000], [0.250, 0.250, 0.250], [0.750, 0.750, 0.750], [0.500, 0.500, 0.500]]
}

=====

Model x:
{
  "formula": "AcLaSmMg",
  "functional": "PBE",
  "state": "relaxed",
  "m_tot_mub_per_atom": 0.000,
  "lattice_angstrom": [[3.880, 0.000, 0.000], [0.000, 3.880, 0.000], [0.000, 0.000, 9.226]],
  "species": ["Ac", "La", "Sm", "Mg"],
  "frac_coords": [[0.000, 0.000, 0.000], [0.500, 0.500, 0.709], [0.500, 0.500, 0.279], [0.000, 0.000, 0.484]]
}

=====

Of them, model w has the lowest stability.